[1]
LiPdBr | GGA-PBE | relaxed

Calculated values
V   125 Å³ per cell
D(E_F)   0.9 states/eV/f.u.
Energy relative to the elements, uncorrected   -0.6 eV per formula unit

The structure in POSCAR format:
```
LiPdBr
1.0
4.946 0.000 0.000
0.000 4.946 0.000
0.000 0.000 5.113
Li Pd Br
2 2 2
direct
0.250 0.250 0.218
0.750 0.750 0.782
0.250 0.250 0.709
0.750 0.750 0.291
0.250 0.750 0.000
0.750 0.250 0.000
```

***

[2]
BiAsPtSe2 | GGA-PBE | relaxed

Calculated values
V   125 Å³ per cell
D(E_F)   3.4 states/eV/f.u.
Energy relative to the elements, uncorrected   1.3 eV per formula unit

The structure in POSCAR format:
```
BiAsPtSe2
1.0
5.157 0.000 0.000
0.000 5.157 0.000
0.000 0.000 4.706
Bi As Pt Se
1 1 1 2
direct
0.000 0.000 0.000
0.500 0.500 0.000
0.500 0.500 0.500
0.000 0.500 0.500
0.500 0.000 0.500
```

***

[3]
PmAlPbO4 | GGA-PBE | relaxed

Calculated values
V   245 Å³ per cell
D(E_F)   0.0 states/eV/f.u.
Energy relative to the elements, uncorrected   -17.6 eV per formula unit

The structure in POSCAR format:
```
PmAlPbO4
1.0
6.061 0.000 0.000
0.000 5.695 0.000
-1.320 0.000 7.094
Pm Al Pb O
2 2 2 8
direct
0.196 0.250 0.087
0.804 0.750 0.913
0.293 0.750 0.851
0.707 0.250 0.149
0.311 0.250 0.641
0.689 0.750 0.359
0.100 0.510 0.830
0.100 0.990 0.830
0.462 0.750 0.079
0.478 0.750 0.690
0.522 0.250 0.310
0.538 0.250 0.921
0.900 0.010 0.170
0.900 0.490 0.170
```

***

[4]
Sr2ScTa | GGA-PBE | relaxed

Calculated values
V   119 Å³ per cell
D(E_F)   6.0 states/eV/f.u.
Energy of formation from the pure elements   0.859 eV per atom

The structure in POSCAR format:
```
Sr2ScTa
1.0
1.694 0.978 11.975
-1.694 0.978 11.975
0.000 -1.956 11.975
Sr Sc Ta
2 1 1
direct
0.243 0.243 0.243
0.757 0.757 0.757
0.000 0.000 0.000
0.500 0.500 0.500
```

***

[5]
RbIn4Pb6 | GGA-PBE | relaxed

Calculated values
V   367 Å³ per cell
D(E_F)   4.7 states/eV/f.u.
Energy of formation from the pure elements   -0.005 eV per atom

The structure in POSCAR format:
```
RbIn4Pb6
1.0
9.221 0.000 0.000
-4.610 7.985 0.000
0.000 0.000 4.984
Rb In Pb
1 4 6
direct
0.000 0.000 0.000
0.333 0.667 0.000
0.410 0.205 0.500
0.795 0.205 0.500
0.795 0.590 0.500
0.203 0.406 0.500
0.203 0.797 0.500
0.531 0.061 0.000
0.531 0.469 0.000
0.594 0.797 0.500
0.939 0.469 0.000
```

***

[6]
CdAgAs | GGA-PBE | relaxed

Calculated values
V   60 Å³ per cell
D(E_F)   1.5 states/eV/f.u.
Energy of formation from the pure elements   0.147 eV per atom

The structure in POSCAR format:
```
CdAgAs
1.0
0.000 2.128 6.670
2.115 0.000 6.670
2.115 2.128 0.000
Cd Ag As
1 1 1
direct
0.000 0.000 0.000
0.340 0.340 0.660
0.681 0.681 0.319
```